Run 1
Density functional theory data (PBEsol) for crystalline ZnAg2Pb at its relaxed geometry.

The structure in CIF format:
```
data_ZnAg2Pb
_space_group_name_H-M_alt 'C 1 m 1'
_space_group_IT_number 8
_space_group_name_Hall 'C -2y'
_cell_length_a 9.2036
_cell_length_b 3.1239
_cell_length_c 5.5444
_cell_angle_alpha 90.00
_cell_angle_beta 101.45
_cell_angle_gamma 90.00
loop_
_atom_site_label
_atom_site_fract_x
_atom_site_fract_y
_atom_site_fract_z
Zn1 0.0000 0.0000 0.0000
Ag1 0.0179 0.5000 0.6034
Ag2 0.2636 0.0000 0.8376
Pb1 0.2576 0.5000 0.3234
```

Run 2
Density functional theory data (PBEsol) for crystalline ZnAg2Pb at its relaxed geometry.

The structure in CIF format:
```
data_ZnAg2Pb
_space_group_name_H-M_alt 'I m m m'
_space_group_IT_number 71
_space_group_name_Hall '-I 2 2'
_cell_length_a 3.2440
_cell_length_b 5.0305
_cell_length_c 9.3498
_cell_angle_alpha 90.00
_cell_angle_beta 90.00
_cell_angle_gamma 90.00
loop_
_atom_site_label
_atom_site_fract_x
_atom_site_fract_y
_atom_site_fract_z
Zn1 0.0000 0.0000 0.0000
Ag1 0.0000 0.5000 0.2748
Pb1 0.0000 0.0000 0.5000
```

Run 3
Density functional theory data (PBEsol) for crystalline ZnAg2Pb at its relaxed geometry.

The structure in CIF format:
```
data_ZnAg2Pb
_space_group_name_H-M_alt 'P 4/m m m'
_space_group_IT_number 123
_space_group_name_Hall '-P 4 2'
_cell_length_a 3.2020
_cell_length_b 3.2020
_cell_length_c 7.4193
_cell_angle_alpha 90.00
_cell_angle_beta 90.00
_cell_angle_gamma 90.00
loop_
_atom_site_label
_atom_site_fract_x
_atom_site_fract_y
_atom_site_fract_z
Zn1 0.0000 0.0000 0.0000
Ag1 0.5000 0.5000 0.1978
Pb1 0.0000 0.0000 0.5000
```

Which structure above is the least stable? It is run 2.